(1)
The following is a PBE-GGA calculation of AcNdTlBi after structural relaxation, from the Alexandria database.

Structure (POSCAR):
```
AcNdTlBi
1.0
0.000 4.062 4.062
4.062 0.000 4.062
4.062 4.062 0.000
Ac Nd Tl Bi
1 1 1 1
Direct
0.000 0.000 0.000
0.500 0.500 0.500
0.750 0.750 0.750
0.250 0.250 0.250
```

Properties
**Total moment**: 0.0 μB per formula unit
**Density of states at the Fermi level**: 4.982 states/eV/f.u.
**Calculated formation energy**: -472 meV/atom



(2)
The following is a PBE-GGA calculation of Ac2NdTmBi4 after structural relaxation, from the Alexandria database.

Structure (POSCAR):
```
Ac2NdTmBi4
1.0
8.141 0.000 0.000
0.000 4.708 0.000
-2.720 0.000 7.680
Ac Nd Tm Bi
2 1 1 4
Direct
0.000 0.000 0.000
0.000 0.500 0.500
0.500 0.000 0.500
0.500 0.500 0.000
0.268 0.500 0.251
0.272 0.000 0.763
0.728 0.000 0.237
0.732 0.500 0.749
```

Properties
**Total moment**: 0.0 μB per formula unit
**Density of states at the Fermi level**: 1.055 states/eV/f.u.
**Calculated formation energy**: -915 meV/atom



(3)
The following is a PBE-GGA calculation of AcNdZnBi after structural relaxation, from the Alexandria database.

Structure (POSCAR):
```
AcNdZnBi
1.0
0.000 3.962 3.962
3.962 0.000 3.962
3.962 3.962 0.000
Ac Nd Zn Bi
1 1 1 1
Direct
0.000 0.000 0.000
0.500 0.500 0.500
0.750 0.750 0.750
0.250 0.250 0.250
```

Properties
**Total moment**: 0.0 μB per formula unit
**Density of states at the Fermi level**: 3.918 states/eV/f.u.
**Calculated formation energy**: -430 meV/atom



(4)
The following is a PBE-GGA calculation of Ac3Ni3Bi4 after structural relaxation, from the Alexandria database.

Structure (POSCAR):
```
Ac3Ni3Bi4
1.0
-5.118 5.118 5.118
5.118 -5.118 5.118
5.118 5.118 -5.118
Ac Ni Bi
6 6 8
Direct
0.125 0.875 0.250
0.250 0.125 0.875
0.375 0.625 0.750
0.625 0.750 0.375
0.750 0.375 0.625
0.875 0.250 0.125
0.125 0.750 0.875
0.250 0.625 0.375
0.375 0.250 0.625
0.625 0.375 0.250
0.750 0.875 0.125
0.875 0.125 0.750
0.000 0.155 0.500
0.000 0.655 0.500
0.155 0.500 0.000
0.345 0.345 0.345
0.500 0.000 0.155
0.500 0.000 0.655
0.655 0.500 0.000
0.845 0.845 0.845
```

Properties
**Total moment**: 0.0 μB per formula unit
**Density of states at the Fermi level**: 13.145 states/eV/f.u.
**Calculated formation energy**: -571 meV/atom



(5)
The following is a PBE-GGA calculation of AcNi4Bi after structural relaxation, from the Alexandria database.

Structure (POSCAR):
```
AcNi4Bi
1.0
0.000 3.724 3.724
3.724 0.000 3.724
3.724 3.724 0.000
Ac Ni Bi
1 4 1
Direct
0.000 0.000 0.000
0.376 0.376 0.376
0.376 0.376 0.873
0.376 0.873 0.376
0.873 0.376 0.376
0.750 0.750 0.750
```

Properties
**Total moment**: 0.6 μB per formula unit
**Density of states at the Fermi level**: 7.195 states/eV/f.u.
**Calculated formation energy**: -55 meV/atom



(6)
The following is a PBE-GGA calculation of AcNi2Bi after structural relaxation, from the Alexandria database.

Structure (POSCAR):
```
AcNi2Bi
1.0
2.277 1.314 5.054
-2.277 1.314 5.054
0.000 -2.629 5.054
Ac Ni Bi
1 2 1
Direct
0.000 0.000 0.000
0.198 0.198 0.198
0.802 0.802 0.802
0.500 0.500 0.500
```

Properties
**Total moment**: 0.0 μB per formula unit
**Density of states at the Fermi level**: 2.554 states/eV/f.u.
**Calculated formation energy**: -269 meV/atom



(7)
The following is a PBE-GGA calculation of AcNiBi3 after structural relaxation, from the Alexandria database.

Structure (POSCAR):
```
AcNiBi3
1.0
13.637 0.000 0.000
0.000 6.591 0.000
0.000 0.000 6.463
Ac Ni Bi
4 4 12
Direct
0.200 0.006 0.250
0.200 0.494 0.750
0.800 0.506 0.250
0.800 0.994 0.750
0.401 0.250 0.000
0.401 0.250 0.500
0.599 0.750 0.000
0.599 0.750 0.500
0.000 0.250 0.000
0.000 0.250 0.500
0.000 0.750 0.000
0.000 0.750 0.500
0.290 0.501 0.250
0.290 0.999 0.750
0.456 0.595 0.750
0.456 0.905 0.250
0.544 0.095 0.750
0.544 0.405 0.250
0.710 0.001 0.250
0.710 0.499 0.750
```

Properties
**Total moment**: 0.0 μB per formula unit
**Density of states at the Fermi level**: 2.333 states/eV/f.u.
**ΔE to the lowest computed polymorph**: 0.000 eV per atom
**Calculated formation energy**: -393 meV/atom



(8)
The following is a PBE-GGA calculation of AcNi2Bi after structural relaxation, from the Alexandria database.

Structure (POSCAR):
```
AcNi2Bi
1.0
4.857 0.000 0.000
0.000 4.857 0.000
0.000 0.000 3.706
Ac Ni Bi
1 2 1
Direct
0.000 0.000 0.000
0.000 0.500 0.500
0.500 0.000 0.500
0.500 0.500 0.000
```

Properties
**Total moment**: 0.0 μB per formula unit
**Density of states at the Fermi level**: 2.845 states/eV/f.u.
**Calculated formation energy**: -22 meV/atom



Number 1: E_tot -0.156 hartree per atom. Number 2: E_tot -0.185 hartree per atom. Number 3: E_tot -0.145 hartree per atom. Number 4: E_tot -0.187 hartree per atom. Number 5: E_tot -0.193 hartree per atom. Number 6: E_tot -0.190 hartree per atom. Number 7: E_tot -0.173 hartree per atom. Number 8: E_tot -0.180 hartree per atom.